DFT (PBE-GGA) results for an optimized crystal structure of Tb2Dy6Y3Tl.

Cell lengths 6.1080, 6.1080, 11.6667 Å; angles 95.03, 95.03, 120.05 degrees
With the nearest neighbours (Å) after each atom.
Fractional coordinates of all 12 atoms:
1 Tb 0.3339 0.6661 0.0000  6 Dy 3.50-3.51, 3 Tb 3.51-3.53, 3 Tl 3.52-3.53
2 Tb 0.6661 0.3339 0.0000  6 Dy 3.50-3.51, 3 Tb 3.51-3.53, 3 Tl 3.52-3.53
3 Dy 0.9178 0.5885 0.7529  1 Tl 3.48, 6 Dy 3.48-3.55, 2 Tb 3.50, 3 Y 3.54-3.56
4 Dy 0.7531 0.7531 0.2483  6 Dy 3.48-3.55, 1 Tl 3.49, 2 Tb 3.51, 3 Y 3.53-3.55
5 Dy 0.0822 0.4115 0.2471  1 Tl 3.48, 6 Dy 3.48-3.55, 2 Tb 3.50, 3 Y 3.54-3.56
6 Dy 0.5885 0.9178 0.7529  1 Tl 3.48, 6 Dy 3.48-3.55, 2 Tb 3.50, 3 Y 3.54-3.56
7 Dy 0.2469 0.2469 0.7517  6 Dy 3.48-3.55, 1 Tl 3.49, 2 Tb 3.51, 3 Y 3.53-3.55
8 Dy 0.4115 0.0822 0.2471  1 Tl 3.48, 6 Dy 3.48-3.55, 2 Tb 3.50, 3 Y 3.54-3.56
9 Y 0.1667 0.8333 0.5000  6 Y 3.52-3.53, 6 Dy 3.53-3.56
10 Y 0.8333 0.1667 0.5000  6 Y 3.52-3.53, 6 Dy 3.53-3.56
11 Y 0.5000 0.5000 0.5000  6 Y 3.52-3.53, 6 Dy 3.54-3.55
12 Tl 0.0000 0.0000 0.0000  6 Dy 3.48-3.49, 6 Tb 3.52-3.53

DFT (PBE-GGA) results for an optimized crystal structure of CeCu5Pd7.

Cell lengths 5.0494, 6.7437, 6.7437 Å; angles 80.79, 68.01, 68.01 degrees
With the nearest neighbours (Å) after each atom.
Fractional coordinates of all 13 atoms:
1 Ce 0.9929 0.0071 0.0071  10 Pd 2.99-3.21, 2 Cu 3.32
2 Cu 0.5008 0.9958 0.5040  3 Cu 2.50-2.53, 7 Pd 2.56-2.72
3 Cu 0.9995 0.9958 0.5040  3 Cu 2.50-2.53, 7 Pd 2.56-2.72
4 Cu 0.5008 0.5040 0.9958  3 Cu 2.50-2.53, 7 Pd 2.56-2.72
5 Cu 0.9995 0.5040 0.9958  3 Cu 2.50-2.53, 7 Pd 2.56-2.72
6 Cu 0.7342 0.7658 0.7658  4 Cu 2.50, 6 Pd 2.71-2.74
7 Pd 0.6510 0.3490 0.3490  4 Cu 2.70, 5 Pd 2.74-2.92
8 Pd 0.3446 0.6554 0.6554  6 Cu 2.63-2.71, 1 Pd 2.74
9 Pd 0.9984 0.3432 0.6600  5 Cu 2.66-2.74, 4 Pd 2.77-2.81
10 Pd 0.9984 0.6600 0.3432  5 Cu 2.66-2.74, 4 Pd 2.77-2.81
11 Pd 0.2720 0.2280 0.2280  4 Cu 2.56, 6 Pd 2.73-2.81
12 Pd 0.5039 0.7938 0.1983  5 Cu 2.57-2.71, 3 Pd 2.73-2.80
13 Pd 0.5039 0.1983 0.7938  5 Cu 2.57-2.71, 3 Pd 2.73-2.80

DFT (PBE-GGA) results for an optimized crystal structure of Li4In3Pb4.

Cell lengths 3.5533, 4.2961, 18.0178 Å; angles 96.82, 95.92, 89.89 degrees
With the nearest neighbours (Å) after each atom.
Fractional coordinates of all 11 atoms:
1 Li 0.0984 0.1004 0.2005  4 In 3.15-3.17, 5 Pb 3.16-3.28
2 Li 0.2735 0.2722 0.5444  5 Pb 2.96-3.12, 1 In 3.05, 4 Li 3.20-3.21
3 Li 0.7265 0.7278 0.4556  5 Pb 2.96-3.12, 1 In 3.05, 4 Li 3.20-3.21
4 Li 0.9016 0.8997 0.7995  4 In 3.15-3.17, 5 Pb 3.16-3.28
5 In 0.6399 0.6421 0.2841  5 Li 3.05-3.17, 5 Pb 3.19-3.25
6 In 0.3601 0.3579 0.7159  5 Li 3.05-3.17, 5 Pb 3.19-3.25
7 In 0.0000 0.0000 0.0000  8 Pb 3.35-3.36, 2 In 3.55, 2 Li 3.57
8 Pb 0.5541 0.5524 0.1049  5 In 3.19-3.36, 4 Li 3.25-3.28, 2 Pb 3.55
9 Pb 0.4458 0.4476 0.8951  5 In 3.19-3.36, 4 Li 3.25-3.28, 2 Pb 3.55
10 Pb 0.8117 0.8106 0.6217  6 Li 2.96-3.16, 4 In 3.25
11 Pb 0.1883 0.1895 0.3782  6 Li 2.96-3.16, 4 In 3.25

Quick rundown of ΔH_f (0 K), same order as above: -0.01; -0.32; -0.15 eV/atom